Record 1
Computed, not measured: crystalline CaMnPt2 at its relaxed geometry at the PBE level of DFT.

a = 3.971 Å, b = 4.027 Å, c = 8.930 Å
α = 90.00°, β = 90.00°, γ = 90.00°
Space group Imm2 (No. 44)
One atom of each set of equivalent atoms:
Ca: 0.000 0.000 0.000 (multiplicity 2)
Mn: 0.000 0.500 0.752 (multiplicity 2)
Pt: 0.000 0.000 0.498 (multiplicity 2)
Pt: 0.000 0.500 0.249 (multiplicity 2)

Values from the calculation:
* magnetic moment: 1.155 μB/atom
* crystal system: orthorhombic
* E_tot: -49.85 eV/cell



Record 2
Computed, not measured: crystalline CaMnPt2 at its relaxed geometry at the PBE level of DFT.

a = 10.257 Å, b = 2.938 Å, c = 4.907 Å
α = 90.00°, β = 102.45°, γ = 90.00°
Space group Cm (No. 8)
One atom of each set of equivalent atoms:
Ca: 0.000 0.000 0.000 (multiplicity 2)
Mn: 0.207 0.000 0.634 (multiplicity 2)
Pt: 0.251 0.500 0.164 (multiplicity 2)
Pt: 0.472 0.000 0.494 (multiplicity 2)

Values from the calculation:
* magnetic moment: 1.098 μB/atom
* crystal system: monoclinic
* E_tot: -49.77 eV/cell



Record 3
Computed, not measured: crystalline Ca3MnPt at its relaxed geometry at the PBE level of DFT.

a = 5.514 Å, b = 5.514 Å, c = 5.514 Å
α = 90.00°, β = 90.00°, γ = 90.00°
Space group Pm-3m (No. 221)
One atom of each set of equivalent atoms:
Ca: 0.000 0.000 0.500 (multiplicity 3)
Mn: 0.500 0.500 0.500 (multiplicity 1)
Pt: 0.000 0.000 0.000 (multiplicity 1)

Values from the calculation:
* magnetic moment: 0.880 μB/atom
* crystal system: cubic
* distance to the lowest polymorph of the same formula: 0.000 eV/atom
* E_tot: -21.48 eV/cell



Record 4
Computed, not measured: crystalline Ca2MnPt2 at its relaxed geometry at the PBE level of DFT.

a = 6.585 Å, b = 6.585 Å, c = 4.639 Å
α = 90.00°, β = 90.00°, γ = 90.00°
Space group P4/mbm (No. 127)
One atom of each set of equivalent atoms:
Ca: 0.175 0.325 0.000 (multiplicity 4)
Mn: 0.000 0.000 0.500 (multiplicity 2)
Pt: 0.143 0.643 0.500 (multiplicity 4)

Values from the calculation:
* magnetic moment: 0.000 μB/atom
* crystal system: tetragonal
* E_tot: -53.71 eV/cell



Record 5
Computed, not measured: crystalline CaMnPt2 at its relaxed geometry at the PBE level of DFT.

a = 4.862 Å, b = 4.862 Å, c = 17.074 Å
α = 90.00°, β = 90.00°, γ = 90.00°
Space group I-42d (No. 122)
One atom of each set of equivalent atoms:
Ca: 0.000 0.000 0.000 (multiplicity 4)
Mn: 0.000 0.000 0.500 (multiplicity 4)
Pt: 0.074 0.250 0.625 (multiplicity 8)

Values from the calculation:
* magnetic moment: 1.093 μB/atom
* crystal system: tetragonal
* E_tot: -94.79 eV/cell



Record 6
Computed, not measured: crystalline CaMnPt2 at its relaxed geometry at the PBE level of DFT.

a = 3.065 Å, b = 4.809 Å, c = 4.809 Å
α = 90.00°, β = 90.00°, γ = 90.00°
Space group Pmm2 (No. 25)
One atom of each set of equivalent atoms:
Ca: 0.000 0.000 0.000 (multiplicity 1)
Mn: 0.000 0.500 0.503 (multiplicity 1)
Pt: 0.500 0.000 0.500 (multiplicity 1)
Pt: 0.500 0.500 0.005 (multiplicity 1)

Values from the calculation:
* magnetic moment: 1.093 μB/atom
* crystal system: orthorhombic
* E_tot: -25.16 eV/cell



Record 7
Computed, not measured: crystalline Ca3MnPt at its relaxed geometry at the PBE level of DFT.

a = 5.205 Å, b = 5.205 Å, c = 5.205 Å
α = 90.00°, β = 90.00°, γ = 90.00°
Space group Pm-3m (No. 221)
One atom of each set of equivalent atoms:
Ca: 0.000 0.000 0.500 (multiplicity 3)
Mn: 0.000 0.000 0.000 (multiplicity 1)
Pt: 0.500 0.500 0.500 (multiplicity 1)

Values from the calculation:
* magnetic moment: 0.442 μB/atom
* crystal system: cubic
* distance to the lowest polymorph of the same formula: 0.606 eV/atom
* E_tot: -18.45 eV/cell



Record 8
Computed, not measured: crystalline CaMn2Pt2 at its relaxed geometry at the PBE level of DFT.

a = 7.589 Å, b = 7.589 Å, c = 2.719 Å
α = 90.00°, β = 90.00°, γ = 90.00°
Space group P4/mbm (No. 127)
One atom of each set of equivalent atoms:
Ca: 0.000 0.000 0.000 (multiplicity 2)
Mn: 0.096 0.404 0.000 (multiplicity 4)
Pt: 0.193 0.693 0.500 (multiplicity 4)

Values from the calculation:
* magnetic moment: 0.000 μB/atom
* crystal system: tetragonal
* distance to the lowest polymorph of the same formula: 0.000 eV/atom
* E_tot: -66.11 eV/cell